# TbNd3Th2S6 PBE optimized geometry
data_TbNd3Th2S6
_cell_length_a 6.9968
_cell_length_b 12.0860
_cell_length_c 7.0018
_cell_angle_alpha 90.00
_cell_angle_beta 109.45
_cell_angle_gamma 90.00
_symmetry_space_group_name_H-M 'C 1 2/m 1'
_symmetry_Int_Tables_number 12
_symmetry_space_group_name_Hall '-C 2y'
loop_
_atom_site_label
_atom_site_type_symbol
_atom_site_fract_x
_atom_site_fract_y
_atom_site_fract_z
Tb1 Tb 0.0000 0.0000 0.0000
Nd1 Nd 0.0000 0.1671 0.5000
Nd2 Nd 0.0000 0.5000 0.5000
Th1 Th 0.0000 0.3332 0.0000
S1 S 0.2454 0.1640 0.2446
S2 S 0.2460 0.0000 0.7548
# uncorrected energy = -6.825 eV/atom
# density = 7.4 Mg/m³
# ΔE_f (raw) = -1.947 eV per atom


# TlAgSn PBE optimized geometry
data_TlAgSn
_cell_length_a 4.7106
_cell_length_b 10.0167
_cell_length_c 6.4704
_cell_angle_alpha 90.00
_cell_angle_beta 90.00
_cell_angle_gamma 90.00
_symmetry_space_group_name_H-M 'C m c m'
_symmetry_Int_Tables_number 63
_symmetry_space_group_name_Hall '-C 2c 2'
loop_
_atom_site_label
_atom_site_type_symbol
_atom_site_fract_x
_atom_site_fract_y
_atom_site_fract_z
Tl1 Tl 0.0000 0.0000 0.0000
Ag1 Ag 0.0000 0.3567 0.2500
Sn1 Sn 0.0000 0.3115 0.7500
# uncorrected energy = -2.947 eV/atom
# energy relative to the elements = 0.126 eV/atom
# density = 9.4 Mg/m³


# LiScRh PBE optimized geometry
data_LiScRh
_cell_length_a 6.1297
_cell_length_b 6.1297
_cell_length_c 6.1297
_cell_angle_alpha 90.00
_cell_angle_beta 90.00
_cell_angle_gamma 90.00
_symmetry_space_group_name_H-M 'F -4 3 m'
_symmetry_Int_Tables_number 216
_symmetry_space_group_name_Hall 'F -4 2 3'
loop_
_atom_site_label
_atom_site_type_symbol
_atom_site_fract_x
_atom_site_fract_y
_atom_site_fract_z
Li1 Li 0.0000 0.0000 0.0000
Sc1 Sc 0.2500 0.2500 0.2500
Rh1 Rh 0.0000 0.0000 0.5000
# uncorrected energy = -5.164 eV/atom
# energy relative to the elements = 0.035 eV/atom
# density = 4.5 Mg/m³


# CsMnTe2 PBE optimized geometry
data_CsMnTe2
_cell_length_a 8.4920
_cell_length_b 12.7695
_cell_length_c 5.2955
_cell_angle_alpha 90.00
_cell_angle_beta 90.00
_cell_angle_gamma 90.00
_symmetry_space_group_name_H-M 'P n a 21'
_symmetry_Int_Tables_number 33
_symmetry_space_group_name_Hall 'P 2c -2n'
loop_
_atom_site_label
_atom_site_type_symbol
_atom_site_fract_x
_atom_site_fract_y
_atom_site_fract_z
Cs1 Cs 0.1431 0.1160 0.0000
Mn1 Mn 0.0486 0.3701 0.5013
Te1 Te 0.1010 0.4405 0.0012
Te2 Te 0.1527 0.7931 0.0000
# uncorrected energy = -4.628 eV/atom
# density = 5.1 Mg/m³
# ΔE_f (raw) = -0.551 eV per atom


Computed size of the total moment (μB per formula unit) in order:
0.0; 0.0; 0.0; 4.0